No. 1
Material: Li2HgW
Method: DFT, PBE
State: optimized geometry

Cell lengths 2.746, 2.746, 9.655 Å; angles 90.00, 90.00, 110.12 degrees
Positions (direct):
Li 0.000 0.000 0.006
Li 0.000 0.000 0.494
Hg 0.500 0.500 0.750
W 0.500 0.500 0.250

Symmetry   Cmmm, No. 65
Calculated formation energy   0.262 eV per atom


No. 2
Material: Li2HgW
Method: DFT, PBE
State: optimized geometry

Cell lengths 5.652, 5.652, 5.652 Å; angles 152.20, 129.43, 58.69 degrees
Positions (direct):
Li 0.234 0.734 0.500
Li 0.997 0.997 0.000
Hg 0.767 0.267 0.500
W 0.501 0.501 0.000

Symmetry   Imm2, No. 44
Calculated formation energy   0.527 eV per atom